Rb5LaS4 GGA-PBE optimized geometry; electronic total energy = -38.81 eV/cell
1.0
-2.333 4.328 9.159
2.333 -4.328 9.159
2.333 4.328 -9.159
Rb La S
5 1 4
direct
0.000 0.000 0.000
0.083 0.329 0.753
0.424 0.671 0.753
0.576 0.329 0.247
0.917 0.671 0.247
0.500 0.000 0.500
0.279 0.500 0.779
0.333 0.833 0.500
0.667 0.167 0.500
0.721 0.500 0.221

***

Rb3LaS GGA-PBE optimized geometry; relative energy among the computed polymorphs = 831.8 meV per atom
1.0
6.761 0.000 0.000
0.000 6.761 0.000
0.000 0.000 6.761
Rb La S
3 1 1
direct
0.000 0.000 0.500
0.000 0.500 0.000
0.500 0.000 0.000
0.000 0.000 0.000
0.500 0.500 0.500

***

Rb3LaS GGA-PBE optimized geometry; relative energy among the computed polymorphs = 0.0 meV per atom
1.0
6.550 0.000 0.000
0.000 6.550 0.000
0.000 0.000 6.550
Rb La S
3 1 1
direct
0.000 0.000 0.500
0.000 0.500 0.000
0.500 0.000 0.000
0.500 0.500 0.500
0.000 0.000 0.000

***

RbLaS14 GGA-PBE optimized geometry; electronic total energy = -132.17 eV/cell
1.0
-5.067 7.384 6.717
5.067 -7.384 6.717
5.067 7.384 -6.717
Rb La S
2 2 28
direct
0.329 0.079 0.250
0.671 0.921 0.750
0.000 0.000 0.500
0.000 0.500 0.000
0.011 0.282 0.077
0.011 0.934 0.729
0.022 0.164 0.858
0.054 0.684 0.370
0.186 0.316 0.870
0.193 0.836 0.358
0.294 0.066 0.577
0.294 0.718 0.229
0.298 0.616 0.682
0.315 0.449 0.405
0.315 0.910 0.866
0.433 0.616 0.818
0.456 0.090 0.905
0.456 0.551 0.366
0.544 0.449 0.634
0.544 0.910 0.095
0.567 0.384 0.182
0.685 0.090 0.134
0.685 0.551 0.595
0.702 0.384 0.318
0.706 0.282 0.771
0.706 0.934 0.423
0.807 0.164 0.642
0.814 0.684 0.130
0.946 0.316 0.630
0.978 0.836 0.142
0.989 0.066 0.271
0.989 0.718 0.923

***

RbLaS3 GGA-PBE optimized geometry; relative energy among the computed polymorphs = 0.0 meV per atom
1.0
5.615 0.000 0.000
0.000 5.615 0.000
0.000 0.000 5.615
Rb La S
1 1 3
direct
0.000 0.000 0.000
0.500 0.500 0.500
0.000 0.500 0.500
0.500 0.000 0.500
0.500 0.500 0.000

***

RbLaSb2S GGA-PBE optimized geometry; electronic total energy = -18.97 eV/cell
1.0
5.482 0.000 0.000
0.000 5.482 0.000
0.000 0.000 5.465
Rb La Sb S
1 1 2 1
direct
0.000 0.000 0.000
0.500 0.500 0.000
0.000 0.500 0.500
0.500 0.000 0.500
0.000 0.000 0.500

***

RbLa2Sb2S6 GGA-PBE optimized geometry; electronic total energy = -56.26 eV/cell
1.0
7.619 0.000 0.000
-3.453 6.942 0.000
-2.754 -2.668 7.187
Rb La Sb S
1 2 2 6
direct
0.000 0.000 0.000
0.351 0.674 0.036
0.649 0.326 0.964
0.226 0.624 0.524
0.774 0.376 0.476
0.090 0.693 0.221
0.279 0.895 0.768
0.488 0.435 0.203
0.512 0.565 0.797
0.721 0.105 0.232
0.910 0.307 0.779

***

Rb2LaScS4 GGA-PBE optimized geometry; electronic total energy = -43.86 eV/cell
1.0
7.103 0.000 0.000
0.000 4.107 0.000
-2.355 0.000 7.664
Rb La Sc S
2 1 1 4
direct
0.000 0.000 0.000
0.500 0.500 0.000
0.000 0.500 0.500
0.500 0.000 0.500
0.255 0.000 0.693
0.291 0.500 0.314
0.709 0.500 0.686
0.745 0.000 0.307